The following is a PBE with a Hubbard U calculation of crystalline VCo2AuO at its relaxed geometry, from Alexandria.

POSCAR file:
```
VCo2AuO
1.0
3.830 0.000 0.000
0.000 3.830 0.000
0.000 0.000 5.528
V Co Au O
1 2 1 1
Cartesian
0.000 0.000 0.000
0.000 1.915 2.764
1.915 0.000 2.764
1.915 1.915 0.000
1.915 1.915 2.764
```

Summary:
The value obtained for the calculated volume is 81 Å³ per cell. As for the space group: P4/mmm (123). For the energy, the calculation gives -4.682 eV/atom. The value obtained for the density is 7.8 Mg/m³.